(1)
# AcTb2HfN4

A geometry-optimized AcTb2HfN4 structure (PBE, the Alexandria database).

Unit cell a=6.4309 b=6.4309 c=12.2805 alpha=90.00 beta=90.00 gamma=148.06
Element x y z (fractional)
Ac (0.1031, 0.8969, 0.7500)
Ac (0.8969, 0.1031, 0.2500)
Tb (0.3706, 0.6294, 0.5331)
Tb (0.3706, 0.6294, 0.9669)
Tb (0.6294, 0.3706, 0.0331)
Tb (0.6294, 0.3706, 0.4669)
Hf (0.1595, 0.8405, 0.2500)
Hf (0.8405, 0.1595, 0.7500)
N (0.0000, 0.0000, 0.0000)
N (0.0000, 0.0000, 0.5000)
N (0.2589, 0.7411, 0.1191)
N (0.2589, 0.7411, 0.3809)
N (0.4352, 0.5648, 0.7500)
N (0.5648, 0.4352, 0.2500)
N (0.7411, 0.2589, 0.6191)
N (0.7411, 0.2589, 0.8809)

Output
calculated density	9.6	Mg/m³
volume	268.7	Å³ per cell

(2)
# Ac2HfTe2N2

A geometry-optimized Ac2HfTe2N2 structure (PBE, the Alexandria database).

Unit cell a=9.2526 b=9.2526 c=9.2526 alpha=152.41 beta=152.41 gamma=39.42
Element x y z (fractional)
Ac (0.1028, 0.1028, 0.0000)
Ac (0.8972, 0.8972, 0.0000)
Hf (0.5000, 0.5000, 0.0000)
Te (0.3243, 0.3243, 0.0000)
Te (0.6757, 0.6757, 0.0000)
N (0.0000, 0.5000, 0.5000)
N (0.5000, 0.0000, 0.5000)

Output
calculated density	9.0	Mg/m³
volume	169.6	Å³ per cell

(3)
# AcHfThN4

A geometry-optimized AcHfThN4 structure (PBE, the Alexandria database).

Unit cell a=7.0450 b=7.0450 c=5.9390 alpha=90.00 beta=90.00 gamma=130.41
Element x y z (fractional)
Ac (0.1055, 0.8945, 0.7500)
Ac (0.8945, 0.1055, 0.2500)
Hf (0.2522, 0.7478, 0.2500)
Hf (0.7478, 0.2522, 0.7500)
Th (0.3894, 0.6106, 0.7500)
Th (0.6106, 0.3894, 0.2500)
N (0.0000, 0.5000, 0.0000)
N (0.0000, 0.5000, 0.5000)
N (0.0845, 0.9155, 0.2500)
N (0.4343, 0.5657, 0.2500)
N (0.5000, 0.0000, 0.0000)
N (0.5000, 0.0000, 0.5000)
N (0.5657, 0.4343, 0.7500)
N (0.9155, 0.0845, 0.7500)

Output
calculated density	10.3	Mg/m³
volume	224.4	Å³ per cell

(4)
# AcHfThN3

A geometry-optimized AcHfThN3 structure (PBE, the Alexandria database).

Unit cell a=7.5766 b=3.6048 c=8.5853 alpha=90.00 beta=93.62 gamma=90.00
Element x y z (fractional)
Ac (0.1206, 0.2500, 0.3469)
Ac (0.8794, 0.7500, 0.6531)
Hf (0.1558, 0.2500, 0.9473)
Hf (0.8442, 0.7500, 0.0527)
Th (0.4093, 0.7500, 0.6641)
Th (0.5907, 0.2500, 0.3359)
N (0.1227, 0.7500, 0.0736)
N (0.1889, 0.2500, 0.7050)
N (0.3799, 0.7500, 0.3972)
N (0.6201, 0.2500, 0.6028)
N (0.8111, 0.7500, 0.2950)
N (0.8773, 0.2500, 0.9264)

Output
calculated density	9.6	Mg/m³
volume	234.0	Å³ per cell

(5)
# AcTmHfN3

A geometry-optimized AcTmHfN3 structure (PBE, the Alexandria database).

Unit cell a=6.0642 b=3.5518 c=8.8664 alpha=90.00 beta=102.92 gamma=90.00
Element x y z (fractional)
Ac (0.1449, 0.2500, 0.1947)
Ac (0.8551, 0.7500, 0.8053)
Tm (0.2664, 0.7500, 0.5423)
Tm (0.7336, 0.2500, 0.4577)
Hf (0.3684, 0.2500, 0.8538)
Hf (0.6316, 0.7500, 0.1462)
N (0.0666, 0.2500, 0.6655)
N (0.2926, 0.7500, 0.9718)
N (0.4638, 0.7500, 0.3376)
N (0.5362, 0.2500, 0.6624)
N (0.7074, 0.2500, 0.0282)
N (0.9334, 0.7500, 0.3345)

Output
calculated density	11.0	Mg/m³
volume	186.1	Å³ per cell

(6)
# Ac2HfWN5

A geometry-optimized Ac2HfWN5 structure (PBE, the Alexandria database).

Unit cell a=7.4755 b=7.4755 c=11.1078 alpha=90.00 beta=90.00 gamma=152.71
Element x y z (fractional)
Ac (0.1126, 0.8874, 0.5000)
Ac (0.1451, 0.8549, 0.1422)
Ac (0.8549, 0.1451, 0.6422)
Ac (0.8874, 0.1126, 0.0000)
Hf (0.2116, 0.7884, 0.8536)
Hf (0.7884, 0.2116, 0.3536)
W (0.4533, 0.5467, 0.2717)
W (0.5467, 0.4533, 0.7717)
N (0.0437, 0.9563, 0.8495)
N (0.2881, 0.7119, 0.4779)
N (0.3251, 0.6749, 0.2206)
N (0.3510, 0.6490, 0.8299)
N (0.4950, 0.5050, 0.6199)
N (0.5050, 0.4950, 0.1199)
N (0.6490, 0.3510, 0.3299)
N (0.6749, 0.3251, 0.7206)
N (0.7119, 0.2881, 0.9779)
N (0.9563, 0.0437, 0.3495)

Output
calculated density	10.3	Mg/m³
volume	284.6	Å³ per cell

(7)
# AcY2HfN4

A geometry-optimized AcY2HfN4 structure (PBE, the Alexandria database).

Unit cell a=6.4173 b=6.4173 c=12.2516 alpha=90.00 beta=90.00 gamma=148.06
Element x y z (fractional)
Ac (0.1032, 0.8968, 0.7500)
Ac (0.8968, 0.1032, 0.2500)
Y (0.3707, 0.6293, 0.5332)
Y (0.3707, 0.6293, 0.9668)
Y (0.6293, 0.3707, 0.0332)
Y (0.6293, 0.3707, 0.4668)
Hf (0.1593, 0.8407, 0.2500)
Hf (0.8407, 0.1593, 0.7500)
N (0.0000, 0.0000, 0.0000)
N (0.0000, 0.0000, 0.5000)
N (0.2582, 0.7418, 0.1184)
N (0.2582, 0.7418, 0.3816)
N (0.4359, 0.5641, 0.7500)
N (0.5641, 0.4359, 0.2500)
N (0.7418, 0.2582, 0.6184)
N (0.7418, 0.2582, 0.8816)

Output
calculated density	8.0	Mg/m³
volume	266.9	Å³ per cell

(8)
# AcHfZrN3

A geometry-optimized AcHfZrN3 structure (PBE, the Alexandria database).

Unit cell a=5.9381 b=3.4640 c=8.8296 alpha=90.00 beta=103.04 gamma=90.00
Element x y z (fractional)
Ac (0.1438, 0.2500, 0.1936)
Ac (0.8562, 0.7500, 0.8064)
Hf (0.3724, 0.2500, 0.8517)
Hf (0.6276, 0.7500, 0.1483)
Zr (0.2667, 0.7500, 0.5409)
Zr (0.7333, 0.2500, 0.4591)
N (0.0669, 0.2500, 0.6529)
N (0.2852, 0.7500, 0.9805)
N (0.4660, 0.7500, 0.3491)
N (0.5340, 0.2500, 0.6509)
N (0.7148, 0.2500, 0.0195)
N (0.9331, 0.7500, 0.3471)

Output
calculated density	10.1	Mg/m³
volume	176.9	Å³ per cell

Short version: total magnetic moment = 0.00 0.00 0.00 0.00 0.00 0.00 0.00 0.00 μB per formula unit, in the order given.
Short version: formation energy from raw total energies = -1.370 -1.545 -1.256 -1.210 -1.480 -1.119 -1.376 -1.431 eV per atom, in the order given.